Arrangement i

Material: ZnAuOF2
Method: DFT, PBE
State: optimized geometry

a b c (Å): 3.888 3.888 4.258
angles (deg): 90.00 90.00 90.00
Positions (direct):
Zn (0.000, 0.000, 0.000)
Au (0.500, 0.500, 0.500)
F (0.000, 0.500, 0.000)
F (0.500, 0.000, 0.000)
O (0.000, 0.000, 0.500)

=====

Arrangement ii

Material: ZnAuOF2
Method: DFT, PBE
State: optimized geometry

a b c (Å): 4.372 4.372 4.088
angles (deg): 90.00 90.00 90.00
Positions (direct):
F (0.000, 0.500, 0.000)
F (0.500, 0.000, 0.000)
Zn (0.500, 0.500, 0.500)
O (0.000, 0.000, 0.500)
Au (0.000, 0.000, 0.000)

=====

arrangement i is favored, and the nearest alternative lies 0.471 eV/atom above it.

=====

Arrangement i

Material: ZrAuOF2
Method: DFT, PBE
State: optimized geometry

a b c (Å): 4.333 4.333 4.077
angles (deg): 90.00 90.00 90.00
Positions (direct):
O (0.000, 0.000, 0.500)
Au (0.500, 0.500, 0.500)
F (0.000, 0.500, 0.000)
Zr (0.000, 0.000, 0.000)
F (0.500, 0.000, 0.000)

=====

Arrangement ii

Material: ZrAuOF2
Method: DFT, PBE
State: optimized geometry

a b c (Å): 4.486 4.486 4.082
angles (deg): 90.00 90.00 90.00
Site moments in Bohr magnetons follow the coordinates.
Positions (direct):
Zr (0.500, 0.500, 0.500)  1.33
Au (0.000, 0.000, 0.000)  -0.03
F (0.000, 0.500, 0.000)  0.02
F (0.500, 0.000, 0.000)  0.02
O (0.000, 0.000, 0.500)  -0.06

=====

arrangement i is favored, and the nearest alternative lies 1.696 eV/atom above it.

=====

Arrangement i

Material: Os2AuF
Method: DFT, PBE
State: optimized geometry

a b c (Å): 3.885 3.885 9.139
angles (deg): 77.73 77.73 90.00
Positions (direct):
Os (0.875, 0.799, 0.750)
Au (0.000, 0.000, 0.000)
Os (0.375, 0.451, 0.750)
F (0.250, 0.750, 0.500)
Au (0.750, 0.250, 0.500)
F (0.500, 0.500, 0.000)
Os (0.201, 0.625, 0.250)
Os (0.549, 0.125, 0.250)

=====

Arrangement ii

Material: Os2AuF
Method: DFT, PBE
State: optimized geometry

a b c (Å): 4.341 4.341 4.341
angles (deg): 60.00 60.00 60.00
Positions (direct):
Au (0.500, 0.500, 0.500)
Os (0.750, 0.750, 0.750)
F (0.000, 0.000, 0.000)
Os (0.250, 0.250, 0.250)

=====

arrangement i is favored, and the nearest alternative lies 0.182 eV/atom above it.

=====

Arrangement i

Material: P2AuSF
Method: DFT, PBE
State: optimized geometry

a b c (Å): 4.859 4.859 4.856
angles (deg): 90.00 90.00 90.00
Site moments in Bohr magnetons follow the coordinates.
Positions (direct):
P (0.500, 0.000, 0.000)  0.27
P (0.000, 0.500, 0.000)  0.27
S (0.000, 0.000, 0.500)  -0.38
Au (0.000, 0.000, 0.000)  0.02
F (0.500, 0.500, 0.500)  0.21

=====

Arrangement ii

Material: P2AuSF
Method: DFT, PBE
State: optimized geometry

a b c (Å): 4.054 4.054 5.359
angles (deg): 90.00 90.00 90.00
Positions (direct):
S (0.000, 0.000, 0.500)
Au (0.500, 0.500, 0.500)
F (0.000, 0.000, 0.000)
P (0.500, 0.000, 0.000)
P (0.000, 0.500, 0.000)

=====

arrangement ii is favored, and the nearest alternative lies 0.144 eV/atom above it.

=====

Arrangement i

Material: TiPAuF2
Method: DFT, PBE
State: optimized geometry

a b c (Å): 3.996 6.054 3.996
angles (deg): 90.00 90.00 90.00
Site moments in Bohr magnetons follow the coordinates.
Positions (direct):
F (0.500, 0.000, 0.000)  -0.01
P (0.500, 0.500, 0.500)  -0.18
Au (0.000, 0.000, 0.000)  -0.01
F (0.000, 0.000, 0.500)  0.00
Ti (0.000, 0.500, 0.000)  0.87

=====

Arrangement ii

Material: TiPAuF2
Method: DFT, PBE
State: optimized geometry

a b c (Å): 3.889 5.412 3.889
angles (deg): 90.00 90.00 90.00
Site moments in Bohr magnetons follow the coordinates.
Positions (direct):
Au (0.500, 0.500, 0.500)  0.04
Ti (0.000, 0.500, 0.000)  1.00
F (0.500, 0.000, 0.000)  0.02
P (0.000, 0.000, 0.000)  0.00
F (0.000, 0.000, 0.500)  0.01

=====

arrangement ii is favored, and the nearest alternative lies 0.432 eV/atom above it.

=====

Arrangement i

Material: Pb2AuF2
Method: DFT, PBE
State: optimized geometry

a b c (Å): 4.998 4.998 5.515
angles (deg): 63.06 63.06 90.00
Positions (direct):
F (0.339, 0.339, 0.322)
F (0.661, 0.661, 0.678)
Pb (0.750, 0.250, 0.500)
Pb (0.250, 0.750, 0.500)
Au (0.000, 0.000, 0.000)

=====

Arrangement ii

Material: Pb2AuF2
Method: DFT, PBE
State: optimized geometry

a b c (Å): 7.803 7.803 3.173
angles (deg): 90.00 90.00 90.00
Positions (direct):
Pb (0.693, 0.807, 0.500)
F (0.378, 0.878, 0.000)
Au (0.000, 0.000, 0.000)
Pb (0.807, 0.307, 0.500)
F (0.878, 0.622, 0.000)
Au (0.500, 0.500, 0.000)
F (0.122, 0.378, 0.000)
F (0.622, 0.122, 0.000)
Pb (0.193, 0.693, 0.500)
Pb (0.307, 0.193, 0.500)

=====

arrangement ii is favored, and the nearest alternative lies 0.082 eV/atom above it.

=====

Arrangement i

Material: Pd3AuF
Method: DFT, PBE
State: optimized geometry

a b c (Å): 4.351 4.351 4.351
angles (deg): 90.00 90.00 90.00
Positions (direct):
Pd (0.500, 0.000, 0.000)
F (0.000, 0.000, 0.000)
Pd (0.000, 0.000, 0.500)
Pd (0.000, 0.500, 0.000)
Au (0.500, 0.500, 0.500)

=====

Arrangement ii

Material: Pd3AuF
Method: DFT, PBE
State: optimized geometry

a b c (Å): 5.018 5.018 5.018
angles (deg): 90.00 90.00 90.00
Positions (direct):
Au (0.000, 0.000, 0.000)
Pd (0.500, 0.000, 0.000)
F (0.500, 0.500, 0.500)
Pd (0.000, 0.000, 0.500)
Pd (0.000, 0.500, 0.000)

=====

arrangement i is favored, and the nearest alternative lies 0.672 eV/atom above it.

=====

Arrangement i

Material: PdAu2F
Method: DFT, PBE
State: optimized geometry

a b c (Å): 4.486 4.486 4.486
angles (deg): 60.00 60.00 60.00
Positions (direct):
Au (0.750, 0.750, 0.750)
Au (0.250, 0.250, 0.250)
Pd (0.500, 0.500, 0.500)
F (0.000, 0.000, 0.000)

=====

Arrangement ii

Material: PdAu2F
Method: DFT, PBE
State: optimized geometry

a b c (Å): 7.100 7.100 5.691
angles (deg): 51.41 51.41 90.00
Positions (direct):
Pd (0.000, 0.000, 0.000)
F (0.500, 0.500, 0.000)
Au (0.597, 0.125, 0.250)
Au (0.375, 0.403, 0.750)
Au (0.875, 0.847, 0.750)
Pd (0.750, 0.250, 0.500)
F (0.250, 0.750, 0.500)
Au (0.153, 0.625, 0.250)

=====

arrangement i is favored, and the nearest alternative lies 0.085 eV/atom above it.

=====

Arrangement i

Material: PdAu3F
Method: DFT, PBE
State: optimized geometry

a b c (Å): 5.058 5.058 5.058
angles (deg): 90.00 90.00 90.00
Positions (direct):
Au (0.000, 0.500, 0.000)
Au (0.000, 0.000, 0.500)
Au (0.500, 0.000, 0.000)
Pd (0.000, 0.000, 0.000)
F (0.500, 0.500, 0.500)

=====

Arrangement ii

Material: PdAu3F
Method: DFT, PBE
State: optimized geometry

a b c (Å): 4.539 4.539 4.539
angles (deg): 90.00 90.00 90.00
Positions (direct):
Au (0.500, 0.000, 0.000)
Pd (0.500, 0.500, 0.500)
F (0.000, 0.000, 0.000)
Au (0.000, 0.000, 0.500)
Au (0.000, 0.500, 0.000)

=====

arrangement ii is favored, and the nearest alternative lies 0.327 eV/atom above it.

=====

Arrangement i

Material: PtAu2F
Method: DFT, PBE
State: optimized geometry

a b c (Å): 7.009 7.009 5.657
angles (deg): 51.72 51.72 90.00
Positions (direct):
Au (0.875, 0.850, 0.750)
F (0.250, 0.750, 0.500)
Au (0.375, 0.400, 0.750)
F (0.500, 0.500, 0.000)
Pt (0.000, 0.000, 0.000)
Au (0.600, 0.125, 0.250)
Pt (0.750, 0.250, 0.500)
Au (0.150, 0.625, 0.250)

=====

Arrangement ii

Material: PtAu2F
Method: DFT, PBE
State: optimized geometry

a b c (Å): 4.490 4.490 4.490
angles (deg): 60.00 60.00 60.00
Positions (direct):
Au (0.750, 0.750, 0.750)
F (0.000, 0.000, 0.000)
Au (0.250, 0.250, 0.250)
Pt (0.500, 0.500, 0.500)

=====

arrangement ii is favored, and the nearest alternative lies 0.113 eV/atom above it.

=====

Arrangement i

Material: Pt3AuF
Method: DFT, PBE
State: optimized geometry

a b c (Å): 4.989 4.989 4.989
angles (deg): 90.00 90.00 90.00
Positions (direct):
Pt (0.000, 0.000, 0.500)
Au (0.000, 0.000, 0.000)
Pt (0.000, 0.500, 0.000)
F (0.500, 0.500, 0.500)
Pt (0.500, 0.000, 0.000)

=====

Arrangement ii

Material: Pt3AuF
Method: DFT, PBE
State: optimized geometry

a b c (Å): 4.381 4.381 4.381
angles (deg): 90.00 90.00 90.00
Site moments in Bohr magnetons follow the coordinates.
Positions (direct):
Pt (0.000, 0.000, 0.500)  0.23
Pt (0.500, 0.000, 0.000)  0.27
Au (0.500, 0.500, 0.500)  0.00
F (0.000, 0.000, 0.000)  0.03
Pt (0.000, 0.500, 0.000)  0.38

=====

arrangement ii is favored, and the nearest alternative lies 0.674 eV/atom above it.

=====

Arrangement i

Material: Rb4Au2F
Method: DFT, PBE
State: optimized geometry

a b c (Å): 8.134 10.161 14.508
angles (deg): 90.00 90.00 90.00
Positions (direct):
Rb (0.499, 0.173, 0.652)
Rb (0.001, 0.673, 0.848)
Rb (0.250, 0.315, 0.906)
Rb (0.250, 0.453, 0.428)
Rb (0.750, 0.547, 0.572)
Rb (0.501, 0.327, 0.152)
F (0.250, 0.210, 0.072)
Au (0.250, 0.608, 0.051)
Rb (0.750, 0.685, 0.094)
Rb (0.999, 0.327, 0.152)
Rb (0.250, 0.815, 0.594)
F (0.750, 0.290, 0.572)
F (0.750, 0.790, 0.928)
Rb (0.750, 0.047, 0.928)
Rb (0.250, 0.953, 0.072)
Rb (0.001, 0.173, 0.652)
Au (0.750, 0.522, 0.320)
F (0.250, 0.710, 0.428)
Au (0.250, 0.478, 0.680)
Rb (0.499, 0.673, 0.848)
Au (0.750, 0.892, 0.551)
Rb (0.501, 0.827, 0.348)
Au (0.750, 0.022, 0.180)
Rb (0.750, 0.185, 0.406)
Au (0.750, 0.392, 0.949)
Au (0.250, 0.978, 0.820)
Au (0.250, 0.108, 0.449)
Rb (0.999, 0.827, 0.348)

=====

Arrangement ii

Material: Rb4Au2F
Method: DFT, PBE
State: optimized geometry

a b c (Å): 8.288 8.044 9.544
angles (deg): 90.00 106.79 90.00
Positions (direct):
Rb (0.067, 0.750, 0.375)
Rb (0.068, 0.750, 0.910)
Rb (0.481, 0.510, 0.249)
F (0.251, 0.750, 0.188)
Rb (0.519, 0.010, 0.751)
Au (0.256, 0.250, 0.441)
Rb (0.932, 0.250, 0.090)
Rb (0.481, 0.990, 0.249)
Au (0.278, 0.250, 0.943)
F (0.749, 0.250, 0.812)
Au (0.744, 0.750, 0.559)
Rb (0.933, 0.250, 0.625)
Au (0.722, 0.750, 0.057)
Rb (0.519, 0.490, 0.751)

=====

arrangement ii is favored, and the nearest alternative lies 0.014 eV/atom above it.